VASP calculation (GGA-PBE) on an optimized crystal structure of Zn2FeRh.

Results
- ΔE_f (eV/atom) = -0.116

Unit cell a=5.0019 b=5.0019 c=5.0019 alpha=145.66 beta=129.26 gamma=62.70
With the nearest neighbours (Å) after each atom.
Fractional positions:
Zn (0.0000, 0.0000, 0.0000)  2 Fe 2.57, 2 Zn 2.60, 4 Rh 2.60
Zn (0.7495, 0.2495, 0.5000)  2 Zn 2.60, 4 Fe 2.60, 2 Rh 2.63
Fe (0.2466, 0.7466, 0.5000)  6 Zn 2.57-2.60, 2 Rh 2.59
Rh (0.4951, 0.4951, 0.0000)  2 Fe 2.59, 6 Zn 2.60-2.63

=====

VASP calculation (GGA-PBE) on an optimized crystal structure of CePuTcGe2.

Results
- ΔE_f (eV/atom) = -0.365

Unit cell a=6.9654 b=6.9654 c=6.9654 alpha=145.86 beta=145.86 gamma=49.05
With the nearest neighbours (Å) after each atom.
Fractional positions:
Ce (0.0000, 0.0000, 0.0000)  8 Ge 3.14
Pu (0.2500, 0.7500, 0.5000)  4 Ge 2.82, 4 Tc 2.89
Tc (0.7500, 0.2500, 0.5000)  4 Ge 2.82, 4 Pu 2.89
Ge (0.4027, 0.4027, 0.0000)  1 Ge 2.47
Ge (0.5973, 0.5973, 0.0000)  1 Ge 2.47

=====

> Which of these has the lowest ΔE_f?

CePuTcGe2

=====

> Which of these has the highest ΔE_f?

Zn2FeRh

=====

> ΔE_f of number 2 (CePuTcGe2)?

-0.365 eV/atom

=====

> The highest ΔE_f belongs to which entry?

Zn2FeRh